1.
A relaxed LiCd2GaAu6 crystal, computed with PBE.

Cell: 5.5534 5.5847 7.8727 Å, 93.36 108.01 118.59°
Fractional coordinates of all 10 atoms:
Li (0.0000, 0.0000, 0.0000)
Cd (0.2742, 0.7017, 0.2060)
Cd (0.7258, 0.2983, 0.7940)
Ga (0.0000, 0.5000, 0.5000)
Au (0.1459, 0.1981, 0.6905)
Au (0.2655, 0.7943, 0.8431)
Au (0.3989, 0.2678, 0.3588)
Au (0.6011, 0.7322, 0.6412)
Au (0.7345, 0.2057, 0.1569)
Au (0.8541, 0.8019, 0.3095)

Output
**ΔE_f**: -0.187 eV per atom
**Magnetic moment**: 0.0 Bohr magnetons per cell
**Space group**: P-1, No. 2
**Electronic total energy**: -2.830 eV/atom

***

2.
A relaxed Li2Cd2GaAu5 crystal, computed with PBE.

Cell: 9.9149 9.9149 3.6688 Å, 90.00 90.00 90.00°
Fractional coordinates of all 20 atoms:
Li (0.1317, 0.3683, 0.0000)
Li (0.3683, 0.8683, 0.0000)
Li (0.6317, 0.1317, 0.0000)
Li (0.8683, 0.6317, 0.0000)
Cd (0.1587, 0.6587, 0.0000)
Cd (0.3413, 0.1587, 0.0000)
Cd (0.6587, 0.8413, 0.0000)
Cd (0.8413, 0.3413, 0.0000)
Ga (0.0000, 0.0000, 0.0000)
Ga (0.5000, 0.5000, 0.0000)
Au (0.0000, 0.5000, 0.5000)
Au (0.1120, 0.1772, 0.5000)
Au (0.1772, 0.8880, 0.5000)
Au (0.3228, 0.3880, 0.5000)
Au (0.3880, 0.6772, 0.5000)
Au (0.5000, 0.0000, 0.5000)
Au (0.6120, 0.3228, 0.5000)
Au (0.6772, 0.6120, 0.5000)
Au (0.8228, 0.1120, 0.5000)
Au (0.8880, 0.8228, 0.5000)

Output
**ΔE_f**: -0.263 eV per atom
**Magnetic moment**: 0.0 Bohr magnetons per cell
**Space group**: P4/mbm, No. 127
**Electronic total energy**: -2.770 eV/atom